# CeTlPt5

A relaxed CeTlPt5 crystal (PBE-GGA, the Alexandria database).

Unit cell a=5.3735 b=8.9259 c=11.2311 alpha=90.00 beta=90.00 gamma=90.00
Fractional positions:
Ce 0.2500 0.2481 0.9325
Ce 0.7500 0.2519 0.4325
Ce 0.2500 0.7481 0.5675
Ce 0.7500 0.7519 0.0675
Tl 0.2500 0.8523 0.8639
Tl 0.7500 0.6477 0.3639
Tl 0.2500 0.3523 0.6361
Tl 0.7500 0.1477 0.1361
Pt 0.2500 0.5635 0.0071
Pt 0.7500 0.9365 0.5071
Pt 0.2500 0.0635 0.4929
Pt 0.7500 0.4365 0.9929
Pt 0.7500 0.3077 0.7762
Pt 0.2500 0.1923 0.2762
Pt 0.7500 0.8077 0.7238
Pt 0.2500 0.6923 0.2238
Pt 0.2500 0.9694 0.0866
Pt 0.7500 0.5306 0.5866
Pt 0.2500 0.4694 0.4134
Pt 0.7500 0.0306 0.9134
Pt 0.9958 0.4315 0.2026
Pt 0.0042 0.0685 0.7026
Pt 0.5042 0.9315 0.2974
Pt 0.4958 0.5685 0.7974
Pt 0.0042 0.5685 0.7974
Pt 0.9958 0.9315 0.2974
Pt 0.4958 0.0685 0.7026
Pt 0.5042 0.4315 0.2026

Properties
As for the total magnetic moment: 1.8 μB per cell. The uncorrected energy comes out at -6.03 eV/atom. As for the energy of formation: -530.2 meV per atom.